[1]
Material: TlCuW
Method: DFT, PBE
State: optimized geometry

Computed properties:
Energy of formation, eV per atom: 0.759
Energy above the lowest structure with this stoichiometry, meV per atom: 21
Crystal system: orthorhombic
Total moment, μB per cell: 0.0

a = 3.314 Å, b = 4.713 Å, c = 13.571 Å
α = 90.00°, β = 90.00°, γ = 90.00°
Space group Fmm2 (No. 42)
Inequivalent atoms, fractional coordinates:
Tl  0.000  0.000  0.000 x4
Cu  0.000  0.000  0.670 x4
W  0.000  0.000  0.316 x4

***

[2]
Material: AcPu2Th
Method: DFT, PBE
State: optimized geometry

Computed properties:
Energy of formation, eV per atom: 0.232
Energy above the lowest structure with this stoichiometry, meV per atom: 0
Crystal system: tetragonal
Total moment, μB per cell: 11.9

a = 3.600 Å, b = 3.600 Å, c = 9.858 Å
α = 90.00°, β = 90.00°, γ = 90.00°
Space group P4/mmm (No. 123)
Inequivalent atoms, fractional coordinates:
Ac  0.000  0.000  0.000 x1
Pu  0.500  0.500  0.272 x2
Th  0.000  0.000  0.500 x1

***

[3]
Material: Pr12Dy2Sc
Method: DFT, PBE
State: optimized geometry

Computed properties:
Energy of formation, eV per atom: 0.337
Crystal system: tetragonal
Total moment, μB per cell: 0.0

a = 6.636 Å, b = 6.636 Å, c = 25.331 Å
α = 90.00°, β = 90.00°, γ = 90.00°
Space group P4/nbm (No. 125, origin choice 2)
Inequivalent atoms, fractional coordinates:
Pr  0.064  0.564  0.107 x8
Pr  0.082  0.582  0.436 x8
Pr  0.250  0.250  0.210 x4
Pr  0.250  0.250  0.334 x4
Dy  0.250  0.750  0.267 x4
Sc  0.250  0.750  0.000 x2

***

[4]
Material: ScNO2F
Method: DFT, PBE
State: optimized geometry

Computed properties:
Energy relative to the elements, uncorrected, eV per atom: -0.65
Crystal system: tetragonal
Total moment, μB per cell: 1.0

a = 4.187 Å, b = 4.187 Å, c = 4.071 Å
α = 90.00°, β = 90.00°, γ = 90.00°
Space group P4/mmm (No. 123)
Inequivalent atoms, fractional coordinates:
Sc  0.000  0.000  0.000 x1
N  0.500  0.500  0.500 x1
O  0.000  0.500  0.000 x2
F  0.000  0.000  0.500 x1

***

[5]
Material: CaF
Method: DFT, PBE
State: optimized geometry

Computed properties:
Energy relative to the elements, uncorrected, eV per atom: -2.67
Energy above the lowest structure with this stoichiometry, meV per atom: 237
Crystal system: tetragonal
Total moment, μB per cell: 0.8

a = 6.728 Å, b = 6.728 Å, c = 3.858 Å
α = 90.00°, β = 90.00°, γ = 90.00°
Space group P4_2/mnm (No. 136)
Inequivalent atoms, fractional coordinates:
Ca  0.202  0.202  0.000 x4
F  0.143  0.857  0.000 x4

***

[6]
Material: As3Ru
Method: DFT, PBE
State: optimized geometry

Computed properties:
Energy of formation, eV per atom: 0.003
Energy above the lowest structure with this stoichiometry, meV per atom: 27
Crystal system: orthorhombic
Total moment, μB per cell: 0.0

a = 8.394 Å, b = 11.103 Å, c = 4.016 Å
α = 90.00°, β = 90.00°, γ = 90.00°
Space group Cmcm (No. 63)
Inequivalent atoms, fractional coordinates:
As  0.000  0.238  0.250 x4
As  0.196  0.403  0.250 x8
Ru  0.000  0.417  0.750 x4

***

[7]
Material: ZrSb2Te
Method: DFT, PBE
State: optimized geometry

Computed properties:
Energy relative to the elements, uncorrected, eV per atom: -0.27
Crystal system: tetragonal
Total moment, μB per cell: 0.0

a = 3.795 Å, b = 3.795 Å, c = 7.098 Å
α = 90.00°, β = 90.00°, γ = 90.00°
Space group P4/mmm (No. 123)
Inequivalent atoms, fractional coordinates:
Zr  0.000  0.000  0.000 x1
Sb  0.500  0.500  0.210 x2
Te  0.000  0.000  0.500 x1

***

[8]
Material: CoRe2Pb
Method: DFT, PBE
State: optimized geometry

Computed properties:
Energy of formation, eV per atom: 0.618
Crystal system: trigonal
Total moment, μB per cell: 4.2

a = 2.9289 Å, b = 2.9289 Å, c = 27.1016 Å
α = 90.00°, β = 90.00°, γ = 120.00°
Space group R3m (No. 160, hexagonal axes)
Inequivalent atoms, fractional coordinates:
Co  0.0000  0.0000  0.0000 x3
Re  0.0000  0.0000  0.4813 x3
Re  0.0000  0.0000  0.7389 x3
Pb  0.0000  0.0000  0.2451 x3

***

[9]
Material: BeTlPtO5
Method: DFT, PBE
State: optimized geometry

Computed properties:
Energy relative to the elements, uncorrected, eV per atom: -1.01
Crystal system: monoclinic
Total moment, μB per cell: 1.9

a = 6.575 Å, b = 8.755 Å, c = 7.092 Å
α = 90.00°, β = 115.06°, γ = 90.00°
Space group C2/c (No. 15)
Inequivalent atoms, fractional coordinates:
Be  0.000  0.190  0.250 x4
Tl  0.000  0.158  0.750 x4
Pt  0.000  0.500  0.000 x4
O  0.000  0.413  0.750 x4
O  0.106  0.289  0.117 x8
O  0.181  0.060  0.410 x8

***

[10]
Material: Cs2Li2HgCl6
Method: DFT, PBE
State: optimized geometry

Computed properties:
Energy relative to the elements, uncorrected, eV per atom: -1.51
Crystal system: monoclinic
Total moment, μB per cell: 0.0

a = 13.169 Å, b = 7.442 Å, c = 7.794 Å
α = 90.00°, β = 115.19°, γ = 90.00°
Space group C2/m (No. 12)
Inequivalent atoms, fractional coordinates:
Cs  0.212  0.000  0.177 x4
Li  0.076  0.500  0.278 x4
Hg  0.000  0.000  0.500 x2
Cl  0.029  0.245  0.768 x8
Cl  0.239  0.000  0.655 x4

***

[11]
Material: Ta4RuC2
Method: DFT, PBE
State: optimized geometry

Computed properties:
Energy of formation, eV per atom: -0.486
Crystal system: orthorhombic
Total moment, μB per cell: 0.0

a = 3.156 Å, b = 10.906 Å, c = 11.391 Å
α = 90.00°, β = 90.00°, γ = 90.00°
Space group Cmcm (No. 63)
Inequivalent atoms, fractional coordinates:
Ta  0.000  0.000  0.000 x4
Ta  0.000  0.267  0.107 x8
Ta  0.000  0.417  0.750 x4
Ru  0.000  0.104  0.750 x4
C  0.000  0.366  0.561 x8

***

[12]
Material: AlCdAs
Method: DFT, PBE
State: optimized geometry

Computed properties:
Energy of formation, eV per atom: 0.158
Energy above the lowest structure with this stoichiometry, meV per atom: 52
Crystal system: orthorhombic
Total moment, μB per cell: 0.0

a = 4.177 Å, b = 4.866 Å, c = 12.066 Å
α = 90.00°, β = 90.00°, γ = 90.00°
Space group Fmm2 (No. 42)
Inequivalent atoms, fractional coordinates:
Al  0.000  0.000  0.000 x4
Cd  0.000  0.000  0.326 x4
As  0.000  0.000  0.632 x4